# PBE+U TeMo5O16, relaxed
data_TeMo5O16
_chemical_formula_sum 'Te4 Mo20 O64'
_symmetry_space_group_name_H-M 'P 1 21/c 1'
_symmetry_Int_Tables_number 14
_symmetry_space_group_name_Hall '-P 2ybc'
_cell_length_a 10.2923
_cell_length_b 14.8231
_cell_length_c 8.2008
_cell_angle_alpha 90.00
_cell_angle_beta 90.08
_cell_angle_gamma 90.00
loop_
_atom_site_label
_atom_site_fract_x
_atom_site_fract_y
_atom_site_fract_z
Te1 0.0043 0.1635 0.2153
Mo1 0.0026 0.6109 0.7551
Mo2 0.3125 0.5012 0.2096
Mo3 0.3151 0.7475 0.3021
Mo4 0.3272 0.2471 0.2761
Mo5 0.3324 0.5006 0.7052
O1 0.0021 0.1547 0.9904
O2 0.0047 0.6100 0.9668
O3 0.1201 0.7306 0.7664
O4 0.1237 0.2310 0.7334
O5 0.1339 0.0341 0.7820
O6 0.1365 0.5346 0.7108
O7 0.2517 0.6242 0.2663
O8 0.2604 0.1221 0.2381
O9 0.2972 0.5034 0.9987
O10 0.3192 0.2483 0.4886
O11 0.3193 0.7445 0.0138
O12 0.3457 0.0031 0.9929
O13 0.3487 0.1312 0.7396
O14 0.3532 0.6235 0.7430
O15 0.4973 0.0305 0.2707
O16 0.4975 0.2156 0.2404
# Uncorrected energy, eV/cell: -602.85
# Spin magnetization, μB/f.u.: 2.000